# RbTl3Se PBE-GGA relaxed
data_RbTl3Se
_cell_length_a 6.3547
_cell_length_b 6.3547
_cell_length_c 6.3547
_cell_angle_alpha 90.00
_cell_angle_beta 90.00
_cell_angle_gamma 90.00
_symmetry_space_group_name_H-M 'P 1'
_symmetry_Int_Tables_number 1
loop_
_symmetry_equiv_pos_as_xyz
'x,y,z'
loop_
_atom_site_label
_atom_site_type_symbol
_atom_site_fract_x
_atom_site_fract_y
_atom_site_fract_z
Rb1 Rb 0.0000 0.0000 0.0000
Tl1 Tl 0.0000 0.0000 0.5000
Tl2 Tl 0.0000 0.5000 0.0000
Tl3 Tl 0.5000 0.0000 0.0000
Se1 Se 0.5000 0.5000 0.5000
# total magnetization = 0.000 μB/f.u.
# E = -1.612 eV/atom
# formation energy (no corrections) = 698.6 meV per atom
# distance to the lowest polymorph of the same formula = 17.11 kcal/mol of atoms